# 1
CaPaPtO6 | GGA-PBE | optimized geometry

Cell lengths 5.5213, 5.5213, 9.9650 Å; angles 90.00, 90.00, 120.00 degrees
Last column: nearest neighbours and their distance in Å.
Sites, in units of the cell vectors:
Ca  0.0000  0.0000  0.0000  6 O 2.40
Ca  0.0000  0.0000  0.5000  6 O 2.40
Pa  0.3333  0.6667  0.2500  6 O 2.18
Pa  0.6667  0.3333  0.7500  6 O 2.18
Pt  0.6667  0.3333  0.2500  6 O 2.02
Pt  0.3333  0.6667  0.7500  6 O 2.02
O  0.6557  0.6335  0.1387  1 Pt 2.02, 1 Pa 2.18
O  0.9778  0.3443  0.1387  1 Pt 2.02, 1 Pa 2.18
O  0.3443  0.9778  0.6387  1 Pt 2.02, 1 Pa 2.18
O  0.0222  0.6557  0.8613  1 Pt 2.02, 1 Pa 2.18
O  0.3665  0.3443  0.3613  1 Pt 2.02, 1 Pa 2.18
O  0.9778  0.6335  0.3613  1 Pt 2.02, 1 Pa 2.18
O  0.6335  0.9778  0.8613  1 Pt 2.02, 1 Pa 2.18
O  0.6557  0.0222  0.3613  1 Pt 2.02, 1 Pa 2.18
O  0.0222  0.3665  0.6387  1 Pt 2.02, 1 Pa 2.18
O  0.3665  0.0222  0.1387  1 Pt 2.02, 1 Pa 2.18
O  0.6335  0.6557  0.6387  1 Pt 2.02, 1 Pa 2.18
O  0.3443  0.3665  0.8613  1 Pt 2.02, 1 Pa 2.18

Output
**VASP energy**: -134.3 eV/cell
**E_form (uncorrected)**: -2.208 eV/atom
**SG**: No. 163
**Size of the total moment**: 0.031 μB/cell

=====

# 2
YZrTe2N | GGA-PBE | optimized geometry

Cell lengths 5.7269, 5.7269, 4.0433 Å; angles 90.00, 90.00, 90.00 degrees
Last column: nearest neighbours and their distance in Å.
Sites, in units of the cell vectors:
Y  0.5000  0.5000  0.5000  8 Te 3.51
Te  0.0000  0.5000  0.0000  2 Zr 2.86
Te  0.5000  0.0000  0.0000  2 Zr 2.86
Zr  0.0000  0.0000  0.0000  2 N 2.02
N  0.0000  0.0000  0.5000  2 Zr 2.02

Output
**VASP energy**: -32.5 eV/cell
**E_form (uncorrected)**: -0.567 eV/atom
**ΔE to the lowest computed polymorph**: 0 meV per atom
**SG**: No. 123
**Size of the total moment**: 0.000 μB/cell

=====

# 3
NaZnHgSb | GGA-PBE | optimized geometry

Cell lengths 5.0841, 5.0841, 5.0841 Å; angles 60.00, 60.00, 60.00 degrees
Last column: nearest neighbours and their distance in Å.
Sites, in units of the cell vectors:
Sb  0.7500  0.7500  0.7500  4 Na 3.11, 4 Zn 3.11
Zn  0.0000  0.0000  0.0000  4 Sb 3.11, 4 Hg 3.11
Hg  0.2500  0.2500  0.2500  4 Zn 3.11, 4 Na 3.11
Na  0.5000  0.5000  0.5000  4 Hg 3.11, 4 Sb 3.11

Output
**VASP energy**: -7.3 eV/cell
**E_form (uncorrected)**: -0.077 eV/atom
**SG**: No. 216
**Size of the total moment**: 0.000 μB/cell

=====

# 4
Cs3K2Cd2Au4 | GGA-PBE | optimized geometry

Cell lengths 5.6512, 5.6512, 14.5521 Å; angles 101.20, 101.20, 90.00 degrees
Last column: nearest neighbours and their distance in Å.
Sites, in units of the cell vectors:
Cs  0.0000  0.0000  0.0000  8 Au 3.70
Cs  0.1576  0.1576  0.3152  4 Au 3.47
Cs  0.8424  0.8424  0.6848  4 Au 3.47
K  0.3289  0.3289  0.6577  1 Cd 3.28
K  0.6711  0.6711  0.3423  1 Cd 3.28
Cd  0.4460  0.4460  0.8920  4 Au 2.96, 1 Cd 3.02, 1 K 3.28
Cd  0.5540  0.5540  0.1080  4 Au 2.96, 1 Cd 3.02, 1 K 3.28
Au  0.4145  0.9145  0.8291  2 Cd 2.96
Au  0.9145  0.4145  0.8291  2 Cd 2.96
Au  0.0855  0.5855  0.1709  2 Cd 2.96
Au  0.5855  0.0855  0.1709  2 Cd 2.96

Output
**VASP energy**: -21.4 eV/cell
**Energy of formation**: -0.16 eV per atom
**SG**: No. 139
**Size of the total moment**: 0.000 μB/cell

=====

# 5
Li2YHgMo | GGA-PBE | optimized geometry

Cell lengths 5.0363, 5.1305, 5.0363 Å; angles 90.00, 90.00, 90.00 degrees
Last column: nearest neighbours and their distance in Å.
Sites, in units of the cell vectors:
Y  0.0000  0.5000  0.0000  2 Mo 2.57
Mo  0.0000  0.0000  0.0000  4 Li 2.52, 2 Y 2.57
Hg  0.5000  0.5000  0.5000  4 Y 3.56, 8 Li 3.59
Li  0.0000  0.0000  0.5000  2 Mo 2.52
Li  0.5000  0.0000  0.0000  2 Mo 2.52

Output
**VASP energy**: -17.1 eV/cell
**Energy of formation**: 0.86 eV per atom
**SG**: No. 123
**Size of the total moment**: 1.967 μB/cell